(1)
A geometry-optimized BaPS2Cl structure, computed with PBE-GGA.

Cell: 4.809 4.809 4.958 Å, 90.00 90.00 90.00°
Atoms (fractional coordinates):
1 S 0.500 0.000 0.000
2 S 0.000 0.500 0.000
3 Ba 0.500 0.500 0.500
4 P 0.000 0.000 0.000
5 Cl 0.000 0.000 0.500

## Properties
distance to the lowest polymorph of the same formula	0.000	eV per atom
formation energy (no corrections)	-932	meV per atom
N(E_F)	0.8	states/eV per cell
E	-4.419	eV per atom

=====

(2)
A geometry-optimized Dy2Er6S3 structure, computed with PBE-GGA.

Cell: 3.699 3.699 24.332 Å, 85.64 85.64 60.00°
Atoms (fractional coordinates):
1 Er 0.931 0.931 0.207
2 Er 0.357 0.357 0.930
3 Er 0.069 0.069 0.793
4 Er 0.643 0.643 0.070
5 Er 0.186 0.186 0.443
6 Er 0.814 0.814 0.557
7 Dy 0.442 0.442 0.674
8 Dy 0.558 0.558 0.326
9 S 0.000 0.000 0.000
10 S 0.712 0.712 0.863
11 S 0.288 0.288 0.137

## Properties
formation energy (no corrections)	-1025	meV per atom
N(E_F)	10.3	states/eV per cell
E	-5.476	eV per atom

=====

(3)
A geometry-optimized K5Au structure, computed with PBE-GGA.

Cell: 8.000 8.000 11.125 Å, 64.97 64.97 31.72°
Atoms (fractional coordinates):
1 K 0.640 0.640 0.786
2 K 0.973 0.973 0.556
3 K 0.304 0.304 0.324
4 K 0.588 0.588 0.170
5 K 0.355 0.355 0.942
6 Au 0.972 0.972 0.055

## Properties
distance to the lowest polymorph of the same formula	0.020	eV per atom
N(E_F)	4.5	states/eV per cell
E	-1.546	eV per atom
energy of formation	-0.0854	eV/atom

=====

(4)
A geometry-optimized CrTeBr2 structure, computed with PBE-GGA.

Cell: 4.156 4.156 8.683 Å, 86.81 86.81 55.52°
Last column: magnetic moment on the atom in μB.
Atoms (fractional coordinates):
1 Br 0.020 0.020 0.049  0.13
2 Br 0.822 0.822 0.648  0.01
3 Cr 0.490 0.490 0.489  3.55
4 Te 0.167 0.167 0.314  -0.09

## Properties
distance to the lowest polymorph of the same formula	0.040	eV per atom
formation energy (no corrections)	-274	meV per atom
N(E_F)	0.4	states/eV per cell
E	-4.301	eV per atom